[1]
Density functional theory data (GGA-PBE) for an optimized crystal structure of Pr6Te3As2Pb.

POSCAR file:
```
Pr6Te3As2Pb
1.0
9.8006 -2.2234 0.0000
9.8006 2.2234 0.0000
-2.2099 0.0000 8.7592
Pr Te As Pb
6 3 2 1
Direct
0.0080 0.0080 0.2516
0.3265 0.3265 0.4315
0.3327 0.3327 0.8954
0.6673 0.6673 0.1046
0.6735 0.6735 0.5685
0.9920 0.9920 0.7484
0.1644 0.1644 0.8321
0.5000 0.5000 0.5000
0.8356 0.8356 0.1679
0.1683 0.1683 0.3358
0.8317 0.8317 0.6642
0.5000 0.5000 0.0000
```

SG: C2/m
Energy relative to the elements, uncorrected (eV/atom): -1.3639
DOS(E_F) (states/eV per cell): 5.15

[2]
Density functional theory data (GGA-PBE) for an optimized crystal structure of HgSb2S2Br2.

POSCAR file:
```
HgSb2S2Br2
1.0
3.8008 0.0000 0.0000
1.6347 7.6381 0.0000
1.2944 3.4172 7.9403
Hg Sb S Br
1 2 2 2
Direct
0.0000 0.0000 0.0000
0.4186 0.6345 0.5814
0.5814 0.3655 0.4186
0.0993 0.1787 0.6018
0.9007 0.8213 0.3982
0.2812 0.2536 0.0264
0.7188 0.7464 0.9736
```

SG: P-1
Energy relative to the elements, uncorrected (eV/atom): -0.2160

[3]
Density functional theory data (GGA-PBE) for an optimized crystal structure of Pt2WSe.

POSCAR file:
```
Pt2WSe
1.0
2.8615 0.0000 0.0000
0.0000 4.1008 0.0000
-0.5102 0.0000 5.5894
Pt W Se
2 1 1
Direct
0.0630 0.0000 0.2374
0.9370 0.0000 0.7626
0.5000 0.5000 0.0000
0.5000 0.5000 0.5000
```

SG: P2/m
Energy relative to the elements, uncorrected (eV/atom): 0.1955
DOS(E_F) (states/eV per cell): 3.52

[4]
Density functional theory data (GGA-PBE) for an optimized crystal structure of Ta2TePt.

POSCAR file:
```
Ta2TePt
1.0
3.4345 0.0000 0.0000
0.0000 3.4345 0.0000
0.0000 0.0000 6.5714
Ta Te Pt
2 1 1
Direct
0.0000 0.0000 0.0000
0.5000 0.5000 0.2539
0.0000 0.0000 0.4933
0.5000 0.5000 0.8133
```

SG: P4mm
Energy relative to the elements, uncorrected (eV/atom): -0.1532
DOS(E_F) (states/eV per cell): 3.74